No. 1
A plane-wave DFT calculation with PBE was carried out for an optimized crystal structure of Tl2AgSeI. Values from VASP.

Results
The calculation puts the calculated density at 6.076 Mg/m³. As for the formation energy from raw total energies: -0.2562 eV/atom.

Quantum ESPRESSO input file:
```
&SYSTEM
  ibrav = 0, nat = 5, ntyp = 4
/
ATOMIC_SPECIES
Tl 204.38 Tl.upf
Ag 107.87 Ag.upf
Se 78.96 Se.upf
I 126.90 I.upf
ATOMIC_POSITIONS crystal
Tl 0.0000 0.5000 0.0000
Tl 0.5000 0.0000 0.0000
Ag 0.0000 0.0000 0.5000
Se 0.0000 0.0000 0.0000
I 0.5000 0.5000 0.5000
CELL_PARAMETERS angstrom
6.3452 0.0000 0.0000
0.0000 6.3452 0.0000
0.0000 0.0000 4.9043
```

***

No. 2
A plane-wave DFT calculation with PBE was carried out for an optimized crystal structure of SiAgI2. Values from VASP.

Results
For the energy relative to the lowest polymorph listed for this composition, the calculation gives 95.7 meV/atom. The calculation puts the calculated density at 6.084 Mg/m³. As for the formation energy from raw total energies: 0.4883 eV/atom. Its density of states at the Fermi level is 2.84 states/eV/cell.

Quantum ESPRESSO input file:
```
&SYSTEM
  ibrav = 0, nat = 4, ntyp = 3
/
ATOMIC_SPECIES
Si 28.09 Si.upf
Ag 107.87 Ag.upf
I 126.90 I.upf
ATOMIC_POSITIONS crystal
Si 0.0000 0.0000 0.0000
Ag 0.5000 0.5000 0.5000
I 0.2500 0.2500 0.2500
I 0.7500 0.7500 0.7500
CELL_PARAMETERS angstrom
0.0000 3.7607 3.7607
3.7607 0.0000 3.7607
3.7607 3.7607 0.0000
```

***

No. 3
A plane-wave DFT calculation with PBE was carried out for an optimized crystal structure of SiAgI6. Values from VASP.

Results
The calculation puts the calculated density at 4.679 Mg/m³. As for the formation energy from raw total energies: -0.0362 eV/atom. Its density of states at the Fermi level is 5.24 states/eV/cell.

Quantum ESPRESSO input file:
```
&SYSTEM
  ibrav = 0, nat = 8, ntyp = 3
/
ATOMIC_SPECIES
Si 28.09 Si.upf
Ag 107.87 Ag.upf
I 126.90 I.upf
ATOMIC_POSITIONS crystal
Si 0.0000 0.0000 0.0000
Ag 0.5000 0.5000 0.0000
I 0.0185 0.2103 0.6265
I 0.2420 0.7669 0.8434
I 0.3936 0.2669 0.8363
I 0.6064 0.7331 0.1637
I 0.7580 0.2331 0.1566
I 0.9815 0.7897 0.3735
CELL_PARAMETERS angstrom
6.9351 0.0000 0.0000
0.0110 7.2763 0.0000
3.3909 3.5043 6.3117
```

***

No. 4
A plane-wave DFT calculation with PBE was carried out for an optimized crystal structure of SiAgI. Values from VASP.

Results
The calculation puts the calculated density at 4.330 Mg/m³. As for the formation energy from raw total energies: 0.1314 eV/atom. Its density of states at the Fermi level is 0.80 states/eV/cell.

Quantum ESPRESSO input file:
```
&SYSTEM
  ibrav = 0, nat = 6, ntyp = 3
/
ATOMIC_SPECIES
Si 28.09 Si.upf
Ag 107.87 Ag.upf
I 126.90 I.upf
ATOMIC_POSITIONS crystal
Si 0.0928 0.0928 0.0021
Si 0.9072 0.9072 0.9979
Ag 0.3151 0.3151 0.0984
Ag 0.6849 0.6849 0.9016
I 0.1316 0.1316 0.3259
I 0.8684 0.8684 0.6741
CELL_PARAMETERS angstrom
6.3576 -2.0139 0.0000
6.3576 2.0139 0.0000
-0.4546 0.0000 7.8735
```

***

No. 5
A plane-wave DFT calculation with PBE was carried out for an optimized crystal structure of SiAgI2. Values from VASP.

Results
For the energy relative to the lowest polymorph listed for this composition, the calculation gives 0.0 meV/atom. The calculation puts the calculated density at 4.516 Mg/m³. As for the formation energy from raw total energies: 0.3926 eV/atom. Its density of states at the Fermi level is 2.66 states/eV/cell.

Quantum ESPRESSO input file:
```
&SYSTEM
  ibrav = 0, nat = 8, ntyp = 3
/
ATOMIC_SPECIES
Si 28.09 Si.upf
Ag 107.87 Ag.upf
I 126.90 I.upf
ATOMIC_POSITIONS crystal
Si 0.0000 0.0000 0.0000
Si 0.7500 0.2500 0.5000
Ag 0.2500 0.7500 0.5000
Ag 0.5000 0.5000 0.0000
I 0.1198 0.6250 0.9948
I 0.3750 0.3698 0.4948
I 0.6302 0.1250 0.0052
I 0.8750 0.8802 0.5052
CELL_PARAMETERS angstrom
-2.9420 2.9420 8.2799
2.9420 -2.9420 8.2799
2.9420 2.9420 -8.2799
```

***

No. 6
A plane-wave DFT calculation with PBE was carried out for an optimized crystal structure of SiAgTe2I. Values from VASP.

Results
For the energy relative to the lowest polymorph listed for this composition, the calculation gives 0.0 meV/atom. The calculation puts the calculated density at 5.444 Mg/m³. As for the formation energy from raw total energies: 0.4744 eV/atom. Its density of states at the Fermi level is 4.47 states/eV/cell.

Quantum ESPRESSO input file:
```
&SYSTEM
  ibrav = 0, nat = 5, ntyp = 4
/
ATOMIC_SPECIES
Si 28.09 Si.upf
Ag 107.87 Ag.upf
Te 127.60 Te.upf
I 126.90 I.upf
ATOMIC_POSITIONS crystal
Si 0.0000 0.0000 0.0000
Ag 0.5000 0.5000 0.5000
Te 0.0000 0.5000 0.0000
Te 0.5000 0.0000 0.0000
I 0.0000 0.0000 0.5000
CELL_PARAMETERS angstrom
5.3105 0.0000 0.0000
0.0000 5.3105 0.0000
0.0000 0.0000 5.6030
```

***

no.,electronic total energy (eV/atom)
1,-2.780
2,-2.355
3,-2.233
4,-3.143
5,-2.451
6,-2.747